## NaTbHo4S8 (PBE)

Data for an optimized crystal structure of NaTbHo4S8.

Unit cell a=8.0646 b=8.0646 c=19.8427 alpha=90.00 beta=90.00 gamma=120.00
Space group R3m (No. 160, hexagonal axes)
Asymmetric unit:
Na (0.0000, 0.0000, 0.0000)
Tb (0.0000, 0.0000, 0.6301)
Ho (0.0000, 0.0000, 0.2509)
Ho (0.1726, 0.3453, 0.4575)
S (0.0000, 0.0000, 0.3836)
S (0.0000, 0.0000, 0.8642)
S (0.0285, 0.5143, 0.3801)
S (0.1766, 0.3533, 0.2057)

## Properties
uncorrected formation energy = -1960 meV per atom
E = -6.051 eV/atom

---

## Ca3Mg2Tl3 (PBE)

Data for an optimized crystal structure of Ca3Mg2Tl3.

Unit cell a=3.949 b=5.352 c=21.347 alpha=90.00 beta=90.00 gamma=90.00
Space group Immm (No. 71)
Asymmetric unit:
Ca (0.000, 0.000, 0.000)
Ca (0.000, 0.500, 0.126)
Mg (0.000, 0.000, 0.242)
Tl (0.000, 0.000, 0.500)
Tl (0.000, 0.500, 0.367)

## Properties
E = -2.324 eV/atom

---

## AlIn3Cl6 (PBE)

Data for an optimized crystal structure of AlIn3Cl6.

Unit cell a=8.889 b=10.849 c=12.913 alpha=90.00 beta=90.00 gamma=90.00
Space group Fmmm (No. 69)
Asymmetric unit:
Al (0.000, 0.000, 0.000)
In (0.000, 0.000, 0.500)
In (0.250, 0.250, 0.250)
Cl (0.000, 0.217, 0.000)
Cl (0.187, 0.000, 0.128)

## Properties
E above lowest polymorph = 100.6 meV/atom
uncorrected formation energy = -1039 meV per atom
E = -3.343 eV/atom

---

## Ho2Tm5Sc (PBE)

Data for an optimized crystal structure of Ho2Tm5Sc.

Unit cell a=5.401 b=11.711 c=15.326 alpha=90.00 beta=90.00 gamma=90.00
Space group Cmcm (No. 63)
Asymmetric unit:
Ho (0.000, 0.220, 0.132)
Tm (0.000, 0.081, 0.594)
Tm (0.000, 0.383, 0.550)
Tm (0.000, 0.461, 0.250)
Sc (0.000, 0.268, 0.750)

## Properties
E above lowest polymorph = 133.4 meV/atom
E = -4.589 eV/atom

---

## Ca2Ac6Tb (PBE)

Data for an optimized crystal structure of Ca2Ac6Tb.

Unit cell a=8.316 b=16.736 c=5.869 alpha=90.00 beta=90.00 gamma=90.00
Space group Cmmm (No. 65)
Asymmetric unit:
Ca (0.000, 0.223, 0.000)
Ac (0.217, 0.356, 0.500)
Ac (0.244, 0.500, 0.000)
Tb (0.000, 0.000, 0.500)

## Properties
E above lowest polymorph = 207.2 meV/atom
E = -3.408 eV/atom

---

## FeCoAg2 (PBE)

Data for an optimized crystal structure of FeCoAg2.

Unit cell a=3.072 b=4.327 c=8.990 alpha=90.00 beta=90.00 gamma=90.00
Space group Cmmm (No. 65)
Asymmetric unit:
Fe (0.000, 0.000, 0.000)
Co (0.000, 0.000, 0.500)
Ag (0.000, 0.500, 0.252)

## Properties
E = -4.847 eV/atom

---

## CeTh2Co (PBE)

Data for an optimized crystal structure of CeTh2Co.

Unit cell a=6.896 b=9.695 c=6.224 alpha=90.00 beta=90.00 gamma=90.00
Space group Pnma (No. 62)
Asymmetric unit:
Ce (0.056, 0.250, 0.154)
Th (0.174, 0.067, 0.648)
Co (0.130, 0.750, 0.425)

## Properties
E above lowest polymorph = 17.6 meV/atom
E = -7.119 eV/atom

---

## Tb2Dy3In2 (PBE)

Data for an optimized crystal structure of Tb2Dy3In2.

Unit cell a=9.327 b=5.389 c=8.605 alpha=90.00 beta=111.22 gamma=90.00
Space group C2/m (No. 12)
Asymmetric unit:
Tb (0.076, 0.000, 0.228)
Dy (0.000, 0.500, 0.500)
Dy (0.153, 0.500, 0.960)
In (0.217, 0.000, 0.650)

## Properties
E above lowest polymorph = 0.0 meV/atom
E = -4.355 eV/atom

---

## KBa (PBE)

Data for an optimized crystal structure of KBa.

Unit cell a=9.125 b=9.125 c=13.052 alpha=90.00 beta=90.00 gamma=90.00
Space group I4_1/amd (No. 141, origin choice 2)
Asymmetric unit:
K (0.000, 0.000, 0.000)
Ba (0.000, 0.000, 0.500)

## Properties
E = -1.414 eV/atom

---

## TlAgBF6 (PBE)

Data for an optimized crystal structure of TlAgBF6.

Unit cell a=4.574 b=4.607 c=7.312 alpha=83.80 beta=85.03 gamma=66.87
Space group P1 (No. 1)
Asymmetric unit:
Tl (0.000, 0.000, 0.000)
Ag (0.291, 0.277, 0.635)
B (0.639, 0.653, 0.333)
F (0.174, 0.783, 0.724)
F (0.334, 0.667, 0.300)
F (0.468, 0.112, 0.956)
F (0.626, 0.955, 0.359)
F (0.759, 0.442, 0.490)
F (0.848, 0.536, 0.175)

## Properties
uncorrected formation energy = -2057 meV per atom
E = -4.626 eV/atom

---

## TcAsPt2 (PBE)

Data for an optimized crystal structure of TcAsPt2.

Unit cell a=2.948 b=2.948 c=7.127 alpha=90.00 beta=90.00 gamma=90.00
Space group P4mm (No. 99)
Asymmetric unit:
Tc (0.000, 0.000, 0.000)
As (0.500, 0.500, 0.215)
Pt (0.000, 0.000, 0.465)
Pt (0.500, 0.500, 0.746)

## Properties
E = -6.755 eV/atom

---

## MgMnN (PBE)

Data for an optimized crystal structure of MgMnN.

Unit cell a=3.099 b=3.099 c=3.663 alpha=90.00 beta=90.00 gamma=90.00
Space group P4/mmm (No. 123)
Asymmetric unit:
Mg (0.000, 0.000, 0.000)
Mn (0.500, 0.500, 0.500)
N (0.500, 0.500, 0.000)

## Properties
E above lowest polymorph = 0.0 meV/atom
uncorrected formation energy = -354 meV per atom
E = -6.717 eV/atom

---

## K5RbH6 (PBE)

Data for an optimized crystal structure of K5RbH6.

Unit cell a=6.976 b=12.084 c=6.968 alpha=90.00 beta=109.43 gamma=90.00
Space group C2/m (No. 12)
Asymmetric unit:
K (0.000, 0.000, 0.000)
K (0.000, 0.167, 0.500)
K (0.000, 0.332, 0.000)
Rb (0.000, 0.500, 0.500)
H (0.243, 0.000, 0.756)
H (0.245, 0.171, 0.247)

## Properties
E = -2.418 eV/atom

---

## PrTiAs (PBE)

Data for an optimized crystal structure of PrTiAs.

Unit cell a=4.068 b=4.068 c=8.041 alpha=90.00 beta=90.00 gamma=90.00
Space group P4/nmm (No. 129, origin choice 2)
Asymmetric unit:
Pr (0.250, 0.250, 0.149)
Ti (0.250, 0.750, 0.500)
As (0.250, 0.250, 0.723)

## Properties
E = -6.715 eV/atom

---

## Ag2HgW (PBE)

Data for an optimized crystal structure of Ag2HgW.

Unit cell a=2.805 b=4.241 c=6.087 alpha=90.00 beta=90.00 gamma=90.00
Space group Pmm2 (No. 25)
Asymmetric unit:
Ag (0.000, 0.000, 0.000)
Ag (0.500, 0.500, 0.246)
Hg (0.000, 0.000, 0.515)
W (0.500, 0.500, 0.765)

## Properties
E = -4.083 eV/atom

---

## MgCr3Pt (PBE)

Data for an optimized crystal structure of MgCr3Pt.

Unit cell a=4.901 b=4.901 c=4.901 alpha=90.00 beta=90.00 gamma=90.00
Space group Pm-3m (No. 221)
Asymmetric unit:
Mg (0.000, 0.000, 0.000)
Cr (0.000, 0.500, 0.500)
Pt (0.500, 0.500, 0.500)

## Properties
E above lowest polymorph = 0.0 meV/atom
E = -6.297 eV/atom

---

## Ba3TaCu2S6 (PBE)

Data for an optimized crystal structure of Ba3TaCu2S6.

Unit cell a=7.1548 b=7.1548 c=7.7980 alpha=90.00 beta=90.00 gamma=120.00
Space group P-3m1 (No. 164)
Asymmetric unit:
Ba (0.0000, 0.0000, 0.0000)
Ba (0.3333, 0.6667, 0.6508)
Ta (0.0000, 0.0000, 0.5000)
Cu (0.3333, 0.6667, 0.2608)
S (0.1591, 0.3183, 0.3071)

## Properties
uncorrected formation energy = -1156 meV per atom
E = -5.371 eV/atom

---

## Fe2CuNiH (PBE)

Data for an optimized crystal structure of Fe2CuNiH.

Unit cell a=3.605 b=3.605 c=3.737 alpha=90.00 beta=90.00 gamma=90.00
Space group P4/mmm (No. 123)
Asymmetric unit:
Fe (0.000, 0.500, 0.000)
Cu (0.000, 0.000, 0.500)
Ni (0.500, 0.500, 0.500)
H (0.000, 0.000, 0.000)

## Properties
E above lowest polymorph = 44.5 meV/atom
E = -5.948 eV/atom

---

## CdIn2HgIr (PBE)

Data for an optimized crystal structure of CdIn2HgIr.

Unit cell a=5.184 b=5.184 c=5.326 alpha=90.00 beta=90.00 gamma=90.00
Space group P4/mmm (No. 123)
Asymmetric unit:
Cd (0.000, 0.000, 0.000)
In (0.000, 0.500, 0.500)
Hg (0.500, 0.500, 0.000)
Ir (0.000, 0.000, 0.500)

## Properties
E above lowest polymorph = 0.0 meV/atom
E = -3.145 eV/atom

---

## PrGa7Tc2 (PBE)

Data for an optimized crystal structure of PrGa7Tc2.

Unit cell a=8.823 b=10.667 c=4.777 alpha=90.00 beta=90.00 gamma=90.00
Space group Cmmm (No. 65)
Asymmetric unit:
Pr (0.000, 0.000, 0.000)
Ga (0.000, 0.299, 0.000)
Ga (0.000, 0.500, 0.500)
Ga (0.229, 0.128, 0.500)
Tc (0.000, 0.267, 0.500)

## Properties
E = -4.786 eV/atom